PBE NiTeIr2, optimized geometry; crystal system = monoclinic; mass density = 15.13 g/cm3; energy relative to the elements, uncorrected = 300 meV per atom; offset from the most stable computed form = 0 meV per atom; volume = 62.62 Å³/cell; total moment = 0.002 μB/f.u.
1.0
-3.546 -2.575 -1.447
-1.022 -4.263 -1.443
-1.351 -2.009 4.166
Ni Te Ir
1 1 2
direct
0.750 0.750 0.750
0.250 0.250 0.250
0.496 0.496 0.519
0.004 0.004 0.981


PBE NiTeIr2, optimized geometry; crystal system = cubic; mass density = 15.33 g/cm3; energy relative to the elements, uncorrected = 387 meV per atom; offset from the most stable computed form = 87 meV per atom; volume = 61.82 Å³/cell; total moment = 0.000 μB/f.u.
1.0
3.169 -2.376 2.002
0.542 0.283 4.396
-1.102 -3.427 2.597
Te Ir Ni
1 2 1
direct
0.500 0.500 0.500
0.250 0.250 0.250
0.750 0.750 0.750
0.000 0.000 0.000


PBE NiTeIr, optimized geometry; crystal system = cubic; mass density = 11.36 g/cm3; energy relative to the elements, uncorrected = 155 meV per atom; volume = 55.33 Å³/cell; total moment = 0.002 μB/f.u.
1.0
-2.383 -2.957 1.968
1.436 -1.879 3.564
-1.824 0.883 3.767
Te Ir Ni
1 1 1
direct
0.500 0.500 0.500
0.750 0.750 0.750
0.000 0.000 0.000


Question: The highest volume belongs to which entry?
Answer: number 1